Entry from Alexandria: a relaxed Ba2NaSiPt crystal (PBE-GGA).

a b c (Å): 6.3724 6.3724 4.6405
angles (deg): 90.00 90.00 90.00
Atoms (fractional coordinates):
Ba  0.0000  0.5000  0.0000
Ba  0.5000  0.0000  0.0000
Na  0.0000  0.0000  0.5000
Si  0.5000  0.5000  0.5000
Pt  0.5000  0.5000  0.0000

- Magnetization: 0.00 Bohr magnetons per cell
- Space-group type: P4/mmm
- Formation energy without anion corrections: -0.402 eV/atom

=====

Entry from Alexandria: a relaxed BaNaSn2Pt2 crystal (PBE-GGA).

a b c (Å): 4.7611 4.7611 7.7021
angles (deg): 90.00 90.00 120.00
Atoms (fractional coordinates):
Ba  0.0000  0.0000  0.0000
Na  0.0000  0.0000  0.5000
Sn  0.3333  0.6667  0.3217
Sn  0.6667  0.3333  0.6783
Pt  0.3333  0.6667  0.6871
Pt  0.6667  0.3333  0.3130

- Magnetization: 0.00 Bohr magnetons per cell
- Space-group type: P-3m1
- E_form: -0.65 eV per atom

=====

Entry from Alexandria: a relaxed Ba2NaSn4Pt3 crystal (PBE-GGA).

a b c (Å): 4.8377 4.8377 11.0347
angles (deg): 90.00 90.00 90.00
Atoms (fractional coordinates):
Ba  0.0000  0.5000  0.2482
Ba  0.5000  0.0000  0.7518
Na  0.0000  0.0000  0.5000
Sn  0.0000  0.0000  0.0000
Sn  0.0000  0.5000  0.6369
Sn  0.5000  0.0000  0.3631
Sn  0.5000  0.5000  0.0000
Pt  0.0000  0.5000  0.8804
Pt  0.5000  0.0000  0.1196
Pt  0.5000  0.5000  0.5000

- Magnetization: 0.00 Bohr magnetons per cell
- Space-group type: P-4m2
- E_form: -0.65 eV per atom

=====

Entry from Alexandria: a relaxed BaNaSr2Pt crystal (PBE-GGA).

a b c (Å): 5.9280 5.9280 6.0719
angles (deg): 90.00 90.00 90.00
Atoms (fractional coordinates):
Ba  0.0000  0.0000  0.0000
Na  0.5000  0.5000  0.0000
Sr  0.0000  0.5000  0.5000
Sr  0.5000  0.0000  0.5000
Pt  0.5000  0.5000  0.5000

- Magnetization: 0.00 Bohr magnetons per cell
- Space-group type: P4/mmm
- E_form: -0.24 eV per atom
- Energy above the most stable polymorph in this dataset: 182.2 meV per atom

=====

Entry from Alexandria: a relaxed Ba5Na2SrPt crystal (PBE-GGA).

a b c (Å): 8.7766 8.7766 8.7766
angles (deg): 119.08 119.08 91.60
Atoms (fractional coordinates):
Ba  0.0000  0.0000  0.0000
Ba  0.0045  0.0045  0.5081
Ba  0.0045  0.4965  0.0000
Ba  0.4965  0.0045  0.0000
Ba  0.4965  0.4965  0.4919
Na  0.0000  0.5000  0.5000
Na  0.5000  0.0000  0.5000
Sr  0.4965  0.4965  0.0000
Pt  0.2515  0.2515  0.0000

- Magnetization: 0.01 Bohr magnetons per cell
- Space-group type: I4mm
- E_form: -0.23 eV per atom

=====

Entry from Alexandria: a relaxed Ba6NaSr2Pt crystal (PBE-GGA).

a b c (Å): 9.4256 9.4256 9.4256
angles (deg): 119.89 90.00 120.11
Atoms (fractional coordinates):
Ba  0.2337  0.0000  0.2337
Ba  0.2341  0.0012  0.7670
Ba  0.2341  0.4671  0.2330
Ba  0.7658  0.9996  0.2337
Ba  0.7663  0.0000  0.7663
Ba  0.7658  0.5321  0.7663
Na  0.4995  0.9995  0.5000
Sr  0.2496  0.5000  0.7496
Sr  0.7505  0.5000  0.2504
Pt  0.9998  0.9998  0.0000

- Magnetization: 0.00 Bohr magnetons per cell
- Space-group type: Imm2
- E_form: -0.12 eV per atom

=====

Entry from Alexandria: a relaxed BaNaSrPt crystal (PBE-GGA).

a b c (Å): 4.7997 4.7997 13.5221
angles (deg): 90.00 90.00 90.00
Atoms (fractional coordinates):
Ba  0.2500  0.2500  0.2449
Ba  0.7500  0.7500  0.7551
Na  0.2500  0.7500  0.5000
Na  0.7500  0.2500  0.5000
Sr  0.2500  0.7500  0.0000
Sr  0.7500  0.2500  0.0000
Pt  0.2500  0.2500  0.8552
Pt  0.7500  0.7500  0.1448

- Magnetization: 0.00 Bohr magnetons per cell
- Space-group type: P4/nmm
- E_form: -0.32 eV per atom
- Energy above the most stable polymorph in this dataset: 0.0 meV per atom

=====

Entry from Alexandria: a relaxed BaNaSrPt crystal (PBE-GGA).

a b c (Å): 5.6328 5.6328 5.6328
angles (deg): 60.00 60.00 60.00
Atoms (fractional coordinates):
Ba  0.0000  0.0000  0.0000
Na  0.7500  0.7500  0.7500
Sr  0.5000  0.5000  0.5000
Pt  0.2500  0.2500  0.2500

- Magnetization: 0.00 Bohr magnetons per cell
- Space-group type: F-43m
- E_form: -0.28 eV per atom
- Energy above the most stable polymorph in this dataset: 40.1 meV per atom

=====

Entry from Alexandria: a relaxed Ba2Na2Sr2Pt crystal (PBE-GGA).

a b c (Å): 9.5657 9.5657 8.2979
angles (deg): 114.64 114.64 28.56
Atoms (fractional coordinates):
Ba  0.1859  0.1859  0.1806
Ba  0.8141  0.8141  0.8194
Na  0.1246  0.1246  0.6162
Na  0.8754  0.8754  0.3838
Sr  0.4986  0.4986  0.2310
Sr  0.5014  0.5014  0.7690
Pt  0.0000  0.0000  0.0000

- Magnetization: 0.00 Bohr magnetons per cell
- Space-group type: C2/m
- E_form: -0.28 eV per atom

=====

Entry from Alexandria: a relaxed BaNaSr2Pt crystal (PBE-GGA).

a b c (Å): 6.0344 6.0344 6.2523
angles (deg): 90.00 90.00 90.00
Atoms (fractional coordinates):
Ba  0.0000  0.0000  0.0000
Na  0.5000  0.5000  0.0000
Sr  0.0000  0.5000  0.5000
Sr  0.5000  0.0000  0.5000
Pt  0.0000  0.0000  0.5000

- Magnetization: 0.00 Bohr magnetons per cell
- Space-group type: P4/mmm
- E_form: -0.42 eV per atom
- Energy above the most stable polymorph in this dataset: 0.0 meV per atom

=====

Entry from Alexandria: a relaxed BaNa2TePt crystal (PBE-GGA).

a b c (Å): 5.4650 5.4650 6.7998
angles (deg): 90.00 90.00 90.00
Atoms (fractional coordinates):
Ba  0.0000  0.0000  0.0000
Na  0.0000  0.5000  0.5000
Na  0.5000  0.0000  0.5000
Te  0.0000  0.0000  0.5000
Pt  0.5000  0.5000  0.0000

- Magnetization: 0.00 Bohr magnetons per cell
- Space-group type: P4/mmm
- Formation energy without anion corrections: -0.307 eV/atom

=====

Entry from Alexandria: a relaxed Ba2NaTl6Pt crystal (PBE-GGA).

a b c (Å): 13.8871 13.8871 13.8871
angles (deg): 31.62 31.62 31.62
Atoms (fractional coordinates):
Ba  0.1062  0.1062  0.1062
Ba  0.2799  0.2799  0.2799
Ba  0.7201  0.7201  0.7201
Ba  0.8938  0.8938  0.8938
Na  0.4255  0.4255  0.4255
Na  0.5745  0.5745  0.5745
Tl  0.0831  0.6615  0.6615
Tl  0.2198  0.2198  0.6580
Tl  0.2198  0.6580  0.2198
Tl  0.3385  0.3385  0.9169
Tl  0.3385  0.9169  0.3385
Tl  0.3420  0.7802  0.7802
Tl  0.6580  0.2198  0.2198
Tl  0.6615  0.0831  0.6615
Tl  0.6615  0.6615  0.0831
Tl  0.7802  0.3420  0.7802
Tl  0.7802  0.7802  0.3420
Tl  0.9169  0.3385  0.3385
Pt  0.0000  0.0000  0.0000
Pt  0.5000  0.5000  0.5000

- Magnetization: 0.00 Bohr magnetons per cell
- Space-group type: R-3m
- E_form: -0.23 eV per atom

=====

Entry from Alexandria: a relaxed Ba2NaTlPt crystal (PBE-GGA).

a b c (Å): 6.2471 6.2471 5.3642
angles (deg): 90.00 90.00 90.00
Atoms (fractional coordinates):
Ba  0.0000  0.5000  0.0000
Ba  0.5000  0.0000  0.0000
Na  0.0000  0.0000  0.5000
Tl  0.5000  0.5000  0.5000
Pt  0.5000  0.5000  0.0000

- Magnetization: 0.00 Bohr magnetons per cell
- Space-group type: P4/mmm
- E_form: -0.35 eV per atom
- Energy above the most stable polymorph in this dataset: 0.0 meV per atom

=====

Entry from Alexandria: a relaxed Ba2NaTlPt crystal (PBE-GGA).

a b c (Å): 6.1242 6.1242 5.5118
angles (deg): 90.00 90.00 90.00
Atoms (fractional coordinates):
Ba  0.0000  0.5000  0.0000
Ba  0.5000  0.0000  0.0000
Na  0.0000  0.0000  0.5000
Tl  0.5000  0.5000  0.5000
Pt  0.0000  0.0000  0.0000

- Magnetization: 0.00 Bohr magnetons per cell
- Space-group type: P4/mmm
- E_form: -0.32 eV per atom
- Energy above the most stable polymorph in this dataset: 32.6 meV per atom

=====

Entry from Alexandria: a relaxed Ba2NaYPt crystal (PBE-GGA).

a b c (Å): 6.3723 6.3723 5.4832
angles (deg): 90.00 90.00 90.00
Atoms (fractional coordinates):
Ba  0.0000  0.5000  0.0000
Ba  0.5000  0.0000  0.0000
Na  0.0000  0.0000  0.5000
Y  0.5000  0.5000  0.5000
Pt  0.5000  0.5000  0.0000

- Magnetization: 0.00 Bohr magnetons per cell
- Space-group type: P4/mmm
- E_form: -0.33 eV per atom

=====

Entry from Alexandria: a relaxed Ba2NaPu crystal (PBE-GGA).

a b c (Å): 14.1658 14.1658 14.1658
angles (deg): 15.59 15.59 15.59
Atoms (fractional coordinates):
Ba  0.0851  0.0851  0.0851
Ba  0.9149  0.9149  0.9149
Na  0.5000  0.5000  0.5000
Pu  0.0000  0.0000  0.0000

- Magnetization: 6.10 Bohr magnetons per cell
- Space-group type: R-3m
- E_form: 0.47 eV per atom

=====

Entry from Alexandria: a relaxed BaNaPuS3 crystal (PBE-GGA).

a b c (Å): 8.5546 4.2551 9.2338
angles (deg): 90.00 106.25 90.00
Atoms (fractional coordinates):
Ba  0.2144  0.2500  0.2410
Ba  0.7856  0.7500  0.7590
Na  0.0927  0.2500  0.5858
Na  0.9073  0.7500  0.4142
Pu  0.3268  0.7500  0.8455
Pu  0.6732  0.2500  0.1545
S  0.1159  0.2500  0.8747
S  0.2450  0.7500  0.5233
S  0.4592  0.7500  0.1522
S  0.5408  0.2500  0.8478
S  0.7550  0.2500  0.4767
S  0.8841  0.7500  0.1253

- Magnetization: 10.00 Bohr magnetons per cell
- Space-group type: P2_1/m
- Formation energy without anion corrections: -1.570 eV/atom

=====

Entry from Alexandria: a relaxed BaNaPu2Se4 crystal (PBE-GGA).

a b c (Å): 7.4783 7.4783 14.8276
angles (deg): 90.00 90.00 145.90
Atoms (fractional coordinates):
Ba  0.1234  0.8766  0.7500
Ba  0.8766  0.1234  0.2500
Na  0.1465  0.8535  0.2500
Na  0.8535  0.1465  0.7500
Pu  0.3717  0.6283  0.5567
Pu  0.3717  0.6283  0.9433
Pu  0.6283  0.3717  0.0567
Pu  0.6283  0.3717  0.4433
Se  0.0000  0.0000  0.0000
Se  0.0000  0.0000  0.5000
Se  0.2641  0.7359  0.1080
Se  0.2641  0.7359  0.3920
Se  0.4583  0.5417  0.7500
Se  0.5417  0.4583  0.2500
Se  0.7359  0.2641  0.6080
Se  0.7359  0.2641  0.8920

- Magnetization: 22.00 Bohr magnetons per cell
- Space-group type: Cmcm
- Formation energy without anion corrections: -1.497 eV/atom

=====

Entry from Alexandria: a relaxed Ba2NaPuSe4 crystal (PBE-GGA).

a b c (Å): 7.7072 4.4988 7.7457
angles (deg): 90.00 109.05 90.00
Atoms (fractional coordinates):
Ba  0.0000  0.0000  0.0000
Ba  0.0000  0.5000  0.5000
Na  0.5000  0.0000  0.5000
Pu  0.5000  0.5000  0.0000
Se  0.2752  0.5000  0.2433
Se  0.2822  0.0000  0.7704
Se  0.7178  0.0000  0.2296
Se  0.7248  0.5000  0.7567

- Magnetization: 5.00 Bohr magnetons per cell
- Space-group type: P2/m
- Formation energy without anion corrections: -1.641 eV/atom

=====

Entry from Alexandria: a relaxed BaNaPuTe3 crystal (PBE-GGA).

a b c (Å): 9.2997 4.7159 10.3265
angles (deg): 90.00 106.55 90.00
Atoms (fractional coordinates):
Ba  0.2137  0.2500  0.2458
Ba  0.7863  0.7500  0.7542
Na  0.0925  0.2500  0.5869
Na  0.9075  0.7500  0.4131
Pu  0.3226  0.7500  0.8450
Pu  0.6774  0.2500  0.1550
Te  0.1027  0.2500  0.8773
Te  0.2608  0.7500  0.5236
Te  0.4554  0.7500  0.1581
Te  0.5446  0.2500  0.8419
Te  0.7392  0.2500  0.4764
Te  0.8973  0.7500  0.1227

- Magnetization: 10.00 Bohr magnetons per cell
- Space-group type: P2_1/m
- Formation energy without anion corrections: -1.182 eV/atom